## Ba4Sb2H (GGA-PBE)

Data for Ba4Sb2H after structural relaxation.

Cell: 9.458 7.738 15.395 Å, 90.00 90.00 90.00°
Space group Pnma (No. 62)
Unique sites:
1 Ba 0.084 0.250 0.064 (multiplicity 4)
2 Ba 0.121 0.250 0.549 (multiplicity 4)
3 Ba 0.240 0.002 0.300 (multiplicity 8)
4 Sb 0.044 0.750 0.149 (multiplicity 4)
5 Sb 0.069 0.750 0.649 (multiplicity 4)
6 H 0.195 0.750 0.915 (multiplicity 4)

DOS at the Fermi energy = 1.98 states/eV/f.u.
Total energy = -3.584 eV/atom
Offset from the most stable computed form = 0.020 eV/atom

## Ba4Sb2H (GGA-PBE)

Data for Ba4Sb2H after structural relaxation.

Cell: 7.679 7.736 9.947 Å, 90.00 108.89 90.00°
Space group P2_1/m (No. 11)
Unique sites:
1 Ba 0.000 0.001 0.245 (multiplicity 4)
2 Ba 0.413 0.250 0.593 (multiplicity 2)
3 Ba 0.425 0.250 0.116 (multiplicity 2)
4 Sb 0.226 0.750 0.554 (multiplicity 2)
5 Sb 0.244 0.750 0.064 (multiplicity 2)
6 H 0.243 0.250 0.309 (multiplicity 2)

DOS at the Fermi energy = 1.42 states/eV/f.u.
Total energy = -3.589 eV/atom
Offset from the most stable computed form = 0.015 eV/atom

## Ba3SbH (GGA-PBE)

Data for Ba3SbH after structural relaxation.

Cell: 5.523 5.523 5.523 Å, 90.00 90.00 90.00°
Space group Pm-3m (No. 221)
Unique sites:
1 Ba 0.000 0.000 0.500 (multiplicity 3)
2 Sb 0.500 0.500 0.500 (multiplicity 1)
3 H 0.000 0.000 0.000 (multiplicity 1)

DOS at the Fermi energy = 4.80 states/eV/f.u.
Total energy = -3.166 eV/atom
Offset from the most stable computed form = 0.020 eV/atom

## Ba2Sb2H (GGA-PBE)

Data for Ba2Sb2H after structural relaxation.

Cell: 9.083 9.083 4.584 Å, 90.00 90.00 90.00°
Space group P4/mbm (No. 127)
Unique sites:
1 Ba 0.186 0.314 0.000 (multiplicity 4)
2 Sb 0.108 0.608 0.500 (multiplicity 4)
3 H 0.000 0.000 0.500 (multiplicity 2)

DOS at the Fermi energy = 2.91 states/eV/f.u.
Total energy = -3.472 eV/atom
Offset from the most stable computed form = 0.000 eV/atom

## Ba3SbH2 (GGA-PBE)

Data for Ba3SbH2 after structural relaxation.

Cell: 25.677 4.854 7.000 Å, 90.00 105.55 90.00°
Space group C2/m (No. 12)
Unique sites:
1 Ba 0.051 0.000 0.280 (multiplicity 4)
2 Ba 0.104 0.500 0.857 (multiplicity 4)
3 Ba 0.228 0.000 0.232 (multiplicity 4)
4 Sb 0.149 0.500 0.408 (multiplicity 4)
5 H 0.062 0.000 0.896 (multiplicity 4)
6 H 0.210 0.500 0.012 (multiplicity 4)

DOS at the Fermi energy = 0.97 states/eV/f.u.
Total energy = -3.385 eV/atom
Offset from the most stable computed form = 0.009 eV/atom

## BaSbH3 (GGA-PBE)

Data for BaSbH3 after structural relaxation.

Cell: 4.680 4.680 4.680 Å, 90.00 90.00 90.00°
Space group Pm-3m (No. 221)
Unique sites:
1 Ba 0.000 0.000 0.000 (multiplicity 1)
2 Sb 0.500 0.500 0.500 (multiplicity 1)
3 H 0.000 0.000 0.500 (multiplicity 3)

DOS at the Fermi energy = 5.09 states/eV/f.u.
Total energy = -2.671 eV/atom
Offset from the most stable computed form = 0.561 eV/atom

## Ba12Sb3H5 (GGA-PBE)

Data for Ba12Sb3H5 after structural relaxation.

Cell: 18.326 18.326 18.326 Å, 90.00 90.00 90.00°
Space group Ia-3d (No. 230)
Unique sites:
1 Ba 0.035 0.058 0.655 (multiplicity 96)
2 Sb 0.000 0.250 0.125 (multiplicity 24)
3 H 0.000 0.000 0.000 (multiplicity 16)
4 H 0.000 0.250 0.375 (multiplicity 24)

DOS at the Fermi energy = 14.36 states/eV/f.u.
Total energy = -3.096 eV/atom

## BaSbH3 (GGA-PBE)

Data for BaSbH3 after structural relaxation.

Cell: 4.379 4.379 4.379 Å, 90.00 90.00 90.00°
Space group Pm-3m (No. 221)
Unique sites:
1 Ba 0.000 0.000 0.000 (multiplicity 1)
2 Sb 0.500 0.500 0.500 (multiplicity 1)
3 H 0.000 0.500 0.500 (multiplicity 3)

DOS at the Fermi energy = 2.03 states/eV/f.u.
Total energy = -3.146 eV/atom
Offset from the most stable computed form = 0.085 eV/atom

## BaSbH2Se4 (GGA-PBE)

Data for BaSbH2Se4 after structural relaxation.

Cell: 6.021 7.971 8.491 Å, 90.00 90.00 90.00°
Space group I222 (No. 23)
Unique sites:
1 Ba 0.000 0.000 0.000 (multiplicity 2)
2 Sb 0.000 0.000 0.500 (multiplicity 2)
3 H 0.000 0.500 0.171 (multiplicity 4)
4 Se 0.209 0.342 0.809 (multiplicity 8)

DOS at the Fermi energy = 4.00 states/eV/f.u.
Total energy = -3.844 eV/atom

## Ba2SiSb2H4 (GGA-PBE)

Data for Ba2SiSb2H4 after structural relaxation.

Cell: 6.757 6.757 8.789 Å, 90.00 90.00 90.00°
Space group I4/mmm (No. 139)
Unique sites:
1 Ba 0.000 0.500 0.250 (multiplicity 4)
2 Si 0.000 0.000 0.000 (multiplicity 2)
3 Sb 0.000 0.000 0.332 (multiplicity 4)
4 H 0.166 0.166 0.000 (multiplicity 8)

DOS at the Fermi energy = 4.77 states/eV/f.u.
Total energy = -3.614 eV/atom

Question: Number 7 is which compound?
Answer: Ba12Sb3H5